No. 1
! Cu2RhAu, relaxed, DFT PBEsol; values from VASP
! Formation enthalpy at 0 K (kJ/mol of formula units): 27
&SYSTEM
  ibrav = 0, nat = 4, ntyp = 3
/
ATOMIC_SPECIES
Rh 102.91 Rh.upf
Au 196.97 Au.upf
Cu 63.55 Cu.upf
CELL_PARAMETERS angstrom
2.704 0.000 0.000
1.352 2.342 0.000
1.352 0.781 8.544
ATOMIC_POSITIONS crystal
Rh 0.500 0.500 0.500
Au 0.000 0.000 0.000
Cu 0.247 0.247 0.259
Cu 0.753 0.753 0.741

No. 2
! LaIr2, relaxed, DFT PBEsol; values from VASP
! Formation enthalpy at 0 K (kJ/mol of formula units): -128
&SYSTEM
  ibrav = 0, nat = 3, ntyp = 2
/
ATOMIC_SPECIES
Ir 192.22 Ir.upf
La 138.91 La.upf
CELL_PARAMETERS angstrom
4.176 0.000 0.000
0.000 4.266 0.000
0.000 -2.133 3.694
ATOMIC_POSITIONS crystal
Ir 0.000 0.333 0.667
Ir 0.000 0.667 0.333
La 0.500 0.000 0.000

No. 3
! RuRh, relaxed, DFT PBEsol; values from VASP
! Formation enthalpy at 0 K (kJ/mol of formula units): 3
&SYSTEM
  ibrav = 0, nat = 8, ntyp = 2
/
ATOMIC_SPECIES
Rh 102.91 Rh.upf
Ru 101.07 Ru.upf
CELL_PARAMETERS angstrom
-2.534 -1.173 -3.212
-1.607 -3.551 2.564
-3.908 3.162 1.930
ATOMIC_POSITIONS crystal
Rh 0.750 0.914 0.877
Rh 0.250 0.586 0.377
Rh 0.750 0.414 0.623
Rh 0.250 0.086 0.123
Ru 0.750 0.920 0.374
Ru 0.250 0.580 0.874
Ru 0.750 0.420 0.126
Ru 0.250 0.080 0.626

no.,calculated density (g/cm3),V (Å³/atom)
1,13.1,13.526
2,13.2,21.938
3,12.7,13.365